(1)
Crystalline TaTc2As at its relaxed geometry, computed with PBE.

Lattice parameters (Å, degrees): 3.046 4.003 5.200 90.00 90.00 90.00
Sites, in units of the cell vectors:
Ta 0.000 0.000 0.000
Tc 0.500 0.500 0.260
Tc 0.500 0.500 0.740
As 0.000 0.000 0.500

For the raw total energy, the calculation gives -9.304 eV per atom. The calculation puts the formation enthalpy at 0 K at 0.0 eV per formula unit.



(2)
Crystalline AlAgOF2 at its relaxed geometry, computed with PBE.

Lattice parameters (Å, degrees): 4.306 4.306 4.148 90.00 90.00 90.00
Sites, in units of the cell vectors:
Al 0.000 0.000 0.000
Ag 0.500 0.500 0.500
O 0.500 0.500 0.000
F 0.000 0.500 0.500
F 0.500 0.000 0.500

For the raw total energy, the calculation gives -3.647 eV per atom. As for the raw formation energy: -588 meV per atom. The energy relative to the lowest polymorph listed for this composition is 1.616 eV/atom.



(3)
Crystalline Li2PmEr2Ge2 at its relaxed geometry, computed with PBE.

Lattice parameters (Å, degrees): 9.250 9.250 9.250 28.11 28.11 28.11
Sites, in units of the cell vectors:
Li 0.094 0.094 0.094
Li 0.906 0.906 0.906
Pm 0.500 0.500 0.500
Er 0.372 0.372 0.372
Er 0.628 0.628 0.628
Ge 0.240 0.240 0.240
Ge 0.760 0.760 0.760

For the raw total energy, the calculation gives -4.332 eV per atom. The calculation puts the formation enthalpy at 0 K at -3.4 eV per formula unit.



(4)
Crystalline Pm2Hg2Pd at its relaxed geometry, computed with PBE.

Lattice parameters (Å, degrees): 5.969 5.969 12.026 108.81 108.81 39.48
Sites, in units of the cell vectors:
Pm 0.002 0.002 0.333
Pm 0.183 0.183 0.120
Pm 0.817 0.817 0.880
Pm 0.998 0.998 0.667
Hg 0.342 0.342 0.449
Hg 0.453 0.453 0.108
Hg 0.547 0.547 0.892
Hg 0.658 0.658 0.551
Pd 0.309 0.309 0.697
Pd 0.691 0.691 0.303

For the raw total energy, the calculation gives -3.635 eV per atom. The calculation puts the formation enthalpy at 0 K at -2.9 eV per formula unit.



(5)
Crystalline BaZn2Cu at its relaxed geometry, computed with PBE.

Lattice parameters (Å, degrees): 4.514 4.514 5.032 90.00 90.00 90.00
Sites, in units of the cell vectors:
Ba 0.000 0.000 0.000
Zn 0.000 0.500 0.500
Zn 0.500 0.000 0.500
Cu 0.500 0.500 0.000

For the raw total energy, the calculation gives -1.938 eV per atom. The calculation puts the formation enthalpy at 0 K at 0.8 eV per formula unit.



(6)
Crystalline LaSb2Au at its relaxed geometry, computed with PBE.

Lattice parameters (Å, degrees): 4.231 4.231 6.194 90.00 90.00 90.00
Sites, in units of the cell vectors:
La 0.000 0.000 0.000
Sb 0.500 0.500 0.260
Sb 0.500 0.500 0.740
Au 0.000 0.000 0.500

For the raw total energy, the calculation gives -4.525 eV per atom. As for the raw formation energy: -413 meV per atom.



(7)
Crystalline SrCu2RuSe at its relaxed geometry, computed with PBE.

Lattice parameters (Å, degrees): 4.562 4.562 5.826 90.00 90.00 90.00
Sites, in units of the cell vectors:
Sr 0.000 0.000 0.000
Cu 0.000 0.500 0.500
Cu 0.500 0.000 0.500
Ru 0.500 0.500 0.000
Se 0.000 0.000 0.500

For the raw total energy, the calculation gives -3.860 eV per atom. As for the raw formation energy: 667 meV per atom.



(8)
Crystalline Fe3HW at its relaxed geometry, computed with PBE.

Lattice parameters (Å, degrees): 5.175 5.175 5.175 120.12 90.65 119.14
Sites, in units of the cell vectors:
Fe 0.253 0.000 0.753
Fe 0.253 0.500 0.253
Fe 0.256 0.006 0.250
Fe 0.744 0.994 0.750
Fe 0.747 0.000 0.247
Fe 0.747 0.500 0.747
H 0.500 0.000 0.000
H 0.500 0.500 0.500
W 0.207 0.457 0.750
W 0.793 0.543 0.250

For the raw total energy, the calculation gives -8.266 eV per atom. The energy relative to the lowest polymorph listed for this composition is 0.065 eV/atom.



(9)
Crystalline Sm2TiAl2Pd5 at its relaxed geometry, computed with PBE.

Lattice parameters (Å, degrees): 10.395 10.395 3.416 90.00 90.00 90.00
Sites, in units of the cell vectors:
Sm 0.176 0.324 0.000
Sm 0.324 0.824 0.000
Sm 0.676 0.176 0.000
Sm 0.824 0.676 0.000
Ti 0.000 0.000 0.000
Ti 0.500 0.500 0.000
Al 0.126 0.626 0.000
Al 0.374 0.126 0.000
Al 0.626 0.874 0.000
Al 0.874 0.374 0.000
Pd 0.000 0.500 0.500
Pd 0.052 0.802 0.500
Pd 0.198 0.052 0.500
Pd 0.302 0.552 0.500
Pd 0.448 0.302 0.500
Pd 0.500 0.000 0.500
Pd 0.552 0.698 0.500
Pd 0.698 0.448 0.500
Pd 0.802 0.948 0.500
Pd 0.948 0.198 0.500

For the raw total energy, the calculation gives -5.801 eV per atom. The calculation puts the formation enthalpy at 0 K at -7.2 eV per formula unit.



(10)
Crystalline YFeRu2 at its relaxed geometry, computed with PBE.

Lattice parameters (Å, degrees): 3.186 4.400 4.679 90.00 90.00 90.00
Sites, in units of the cell vectors:
Y 0.000 0.000 0.000
Fe 0.500 0.000 0.500
Ru 0.000 0.500 0.500
Ru 0.500 0.500 0.000

For the raw total energy, the calculation gives -8.147 eV per atom. The energy relative to the lowest polymorph listed for this composition is 0.152 eV/atom. The calculation puts the formation enthalpy at 0 K at 0.9 eV per formula unit.



(11)
Crystalline Ho5Cd4Hg at its relaxed geometry, computed with PBE.

Lattice parameters (Å, degrees): 3.720 3.720 18.651 90.00 90.00 90.00
Sites, in units of the cell vectors:
Ho 0.000 0.000 0.000
Ho 0.000 0.000 0.201
Ho 0.000 0.000 0.402
Ho 0.000 0.000 0.598
Ho 0.000 0.000 0.799
Cd 0.500 0.500 0.100
Cd 0.500 0.500 0.300
Cd 0.500 0.500 0.700
Cd 0.500 0.500 0.900
Hg 0.500 0.500 0.500

For the raw total energy, the calculation gives -3.035 eV per atom. The calculation puts the formation enthalpy at 0 K at -3.5 eV per formula unit.



(12)
Crystalline SiHgOs2 at its relaxed geometry, computed with PBE.

Lattice parameters (Å, degrees): 4.418 4.418 4.418 60.00 60.00 60.00
Sites, in units of the cell vectors:
Si 0.000 0.000 0.000
Hg 0.500 0.500 0.500
Os 0.250 0.250 0.250
Os 0.750 0.750 0.750

For the raw total energy, the calculation gives -6.332 eV per atom. As for the raw formation energy: 714 meV per atom. The energy relative to the lowest polymorph listed for this composition is 0.454 eV/atom.



no.,size of the total moment (μB/f.u.)
1,0.000
2,0.000
3,0.000
4,0.000
5,0.000
6,0.000
7,2.013
8,0.639
9,0.000
10,3.664
11,0.002
12,0.000